(1)
MgIr2Se after structural relaxation, computed with PBE-GGA.

a b c (Å): 5.9214 6.8758 3.0474
angles (deg): 90.00 90.00 90.00
Closest atoms and distances in Å follow each position.
Atoms (fractional coordinates):
Mg: 0.0000 0.0000 0.0000  8 Ir 2.73, 2 Se 2.96, 2 Mg 3.05
Mg: 0.5000 0.5000 0.0000  8 Ir 2.73, 2 Se 2.96, 2 Mg 3.05
Ir: 0.2500 0.2500 0.5000  4 Se 2.73, 4 Mg 2.73, 4 Ir 2.96-3.05
Ir: 0.2500 0.7500 0.5000  4 Se 2.73, 4 Mg 2.73, 4 Ir 2.96-3.05
Ir: 0.7500 0.2500 0.5000  4 Se 2.73, 4 Mg 2.73, 4 Ir 2.96-3.05
Ir: 0.7500 0.7500 0.5000  4 Se 2.73, 4 Mg 2.73, 4 Ir 2.96-3.05
Se: 0.0000 0.5000 0.0000  8 Ir 2.73, 2 Mg 2.96, 2 Se 3.05
Se: 0.5000 0.0000 0.0000  8 Ir 2.73, 2 Mg 2.96, 2 Se 3.05

Calculated values
Offset from the most stable computed form in eV per atom: 0.0947
Density in g/cm3: 13.1
Space group: Cmmm (65)
Raw formation energy in eV/atom: 0.066
M_tot in μB per atom: 0.00
DFT total energy in eV/atom: -5.63

(2)
MgSiIrSe2 after structural relaxation, computed with PBE-GGA.

a b c (Å): 4.9024 4.9024 4.8611
angles (deg): 90.00 90.00 90.00
Closest atoms and distances in Å follow each position.
Atoms (fractional coordinates):
Mg: 0.0000 0.0000 0.0000  2 Ir 2.43
Si: 0.5000 0.5000 0.0000  8 Se 3.45, 4 Mg 3.47
Ir: 0.0000 0.0000 0.5000  2 Mg 2.43, 4 Se 2.45
Se: 0.0000 0.5000 0.5000  2 Ir 2.45
Se: 0.5000 0.0000 0.5000  2 Ir 2.45

Calculated values
Density in g/cm3: 5.7
Space group: P4/mmm (123)
Raw formation energy in eV/atom: 0.535
M_tot in μB per atom: 0.00
DFT total energy in eV/atom: -4.03

(3)
MgTl2IrSe after structural relaxation, computed with PBE-GGA.

a b c (Å): 6.0479 6.0479 4.5114
angles (deg): 90.00 90.00 90.00
Closest atoms and distances in Å follow each position.
Atoms (fractional coordinates):
Mg: 0.0000 0.0000 0.0000  8 Tl 3.77
Tl: 0.0000 0.5000 0.5000  2 Se 3.02
Tl: 0.5000 0.0000 0.5000  2 Se 3.02
Ir: 0.5000 0.5000 0.0000  2 Se 2.26
Se: 0.5000 0.5000 0.5000  2 Ir 2.26

Calculated values
Density in g/cm3: 7.1
Space group: P4/mmm (123)
Raw formation energy in eV/atom: 0.514
M_tot in μB per atom: 0.00
DFT total energy in eV/atom: -3.22

(4)
MgIr2WSe after structural relaxation, computed with PBE-GGA.

a b c (Å): 4.5262 4.5262 4.5305
angles (deg): 90.00 90.00 90.00
Closest atoms and distances in Å follow each position.
Atoms (fractional coordinates):
Mg: 0.0000 0.0000 0.0000  4 Ir 2.26, 2 Se 2.27
Ir: 0.0000 0.5000 0.0000  2 Mg 2.26
Ir: 0.5000 0.0000 0.0000  2 Mg 2.26
W: 0.5000 0.5000 0.5000  4 Se 3.20, 8 Ir 3.20
Se: 0.0000 0.0000 0.5000  2 Mg 2.27

Calculated values
Density in g/cm3: 12.0
Space group: P4/mmm (123)
Raw formation energy in eV/atom: 1.884
M_tot in μB per atom: 0.00
DFT total energy in eV/atom: -5.27

(5)
Mg2SiIr after structural relaxation, computed with PBE-GGA.

a b c (Å): 4.0536 4.0536 7.4917
angles (deg): 90.00 90.00 90.00
Closest atoms and distances in Å follow each position.
Atoms (fractional coordinates):
Mg: 0.0000 0.0000 0.0000  4 Mg 2.76, 4 Si 2.76, 4 Ir 2.87
Mg: 0.0000 0.5000 0.2500  4 Mg 2.76, 4 Ir 2.76, 4 Si 2.87
Mg: 0.5000 0.0000 0.7500  4 Mg 2.76, 4 Ir 2.76, 4 Si 2.87
Mg: 0.5000 0.5000 0.5000  4 Mg 2.76, 4 Si 2.76, 4 Ir 2.87
Si: 0.0000 0.5000 0.7500  8 Mg 2.76-2.87, 4 Ir 2.76
Si: 0.5000 0.0000 0.2500  8 Mg 2.76-2.87, 4 Ir 2.76
Ir: 0.0000 0.0000 0.5000  8 Mg 2.76-2.87, 4 Si 2.76
Ir: 0.5000 0.5000 0.0000  8 Mg 2.76-2.87, 4 Si 2.76

Calculated values
Density in g/cm3: 7.3
Space group: I-4m2 (119)
Raw formation energy in eV/atom: -0.285
M_tot in μB per atom: 0.00
DFT total energy in eV/atom: -4.65

(6)
MgSiIr after structural relaxation, computed with PBE-GGA.

a b c (Å): 7.4620 7.4620 5.2361
angles (deg): 90.00 90.00 138.63
Closest atoms and distances in Å follow each position.
Atoms (fractional coordinates):
Mg: 0.1951 0.8049 0.9485  5 Ir 2.80-3.01, 2 Si 2.86, 4 Mg 3.03-3.10
Mg: 0.3049 0.6951 0.4485  5 Ir 2.80-3.01, 2 Si 2.86, 4 Mg 3.03-3.10
Mg: 0.6951 0.3049 0.5515  5 Ir 2.80-3.01, 2 Si 2.86, 4 Mg 3.03-3.10
Mg: 0.8049 0.1951 0.0515  5 Ir 2.80-3.01, 2 Si 2.86, 4 Mg 3.03-3.10
Si: 0.2212 0.2788 0.2500  4 Ir 2.39-2.46, 2 Si 2.64
Si: 0.2788 0.2212 0.7500  4 Ir 2.39-2.46, 2 Si 2.64
Si: 0.7212 0.7788 0.2500  4 Ir 2.39-2.46, 2 Si 2.64
Si: 0.7788 0.7212 0.7500  4 Ir 2.39-2.46, 2 Si 2.64
Ir: 0.1047 0.8953 0.4266  4 Si 2.39-2.46
Ir: 0.3953 0.6047 0.9266  4 Si 2.39-2.46
Ir: 0.6047 0.3953 0.0734  4 Si 2.39-2.46
Ir: 0.8953 0.1047 0.5734  4 Si 2.39-2.46

Calculated values
Density in g/cm3: 8.4
Space group: Cmce (64)
Raw formation energy in eV/atom: -0.439
M_tot in μB per atom: 0.00
DFT total energy in eV/atom: -5.73

(7)
Mg3SiIr after structural relaxation, computed with PBE-GGA.

a b c (Å): 4.9224 4.9224 4.9224
angles (deg): 90.00 90.00 90.00
Closest atoms and distances in Å follow each position.
Atoms (fractional coordinates):
Mg: 0.0000 0.0000 0.5000  2 Ir 2.46
Mg: 0.0000 0.5000 0.0000  2 Ir 2.46
Mg: 0.5000 0.0000 0.0000  2 Ir 2.46
Si: 0.5000 0.5000 0.5000  12 Mg 3.48
Ir: 0.0000 0.0000 0.0000  6 Mg 2.46

Calculated values
Offset from the most stable computed form in eV per atom: 0.0000
Density in g/cm3: 4.1
Space group: Pm-3m (221)
Raw formation energy in eV/atom: 0.372
M_tot in μB per atom: 0.00
DFT total energy in eV/atom: -3.44

(8)
Mg2SiIr after structural relaxation, computed with PBE-GGA.

a b c (Å): 9.9728 9.9728 4.5337
angles (deg): 90.00 90.00 90.00
Closest atoms and distances in Å follow each position.
Atoms (fractional coordinates):
Mg: 0.0013 0.2500 0.1250  2 Ir 2.56
Mg: 0.2500 0.5013 0.3750  2 Ir 2.56
Mg: 0.2500 0.9987 0.8750  2 Ir 2.56
Mg: 0.4987 0.2500 0.6250  2 Ir 2.56
Mg: 0.5013 0.7500 0.6250  2 Ir 2.56
Mg: 0.7500 0.0013 0.8750  2 Ir 2.56
Mg: 0.7500 0.4987 0.3750  2 Ir 2.56
Mg: 0.9987 0.7500 0.1250  2 Ir 2.56
Si: 0.0000 0.0000 0.5000  2 Ir 2.27
Si: 0.0000 0.5000 0.7500  2 Ir 2.27
Si: 0.5000 0.0000 0.2500  2 Ir 2.27
Si: 0.5000 0.5000 0.0000  2 Ir 2.27
Ir: 0.0000 0.0000 0.0000  2 Si 2.27
Ir: 0.0000 0.5000 0.2500  2 Si 2.27
Ir: 0.5000 0.0000 0.7500  2 Si 2.27
Ir: 0.5000 0.5000 0.5000  2 Si 2.27

Calculated values
Density in g/cm3: 4.0
Space group: I-42d (122)
Raw formation energy in eV/atom: -0.162
M_tot in μB per atom: 0.00
DFT total energy in eV/atom: -4.53

(9)
Mg2SiIr after structural relaxation, computed with PBE-GGA.

a b c (Å): 2.9409 2.9409 7.6564
angles (deg): 90.00 90.00 90.00
Closest atoms and distances in Å follow each position.
Atoms (fractional coordinates):
Mg: 0.0000 0.0000 0.2291  4 Ir 2.72, 4 Si 2.94, 4 Mg 2.94
Mg: 0.0000 0.0000 0.7709  4 Ir 2.72, 4 Si 2.94, 4 Mg 2.94
Si: 0.5000 0.5000 0.5000  8 Mg 2.94, 4 Si 2.94
Ir: 0.5000 0.5000 0.0000  8 Mg 2.72, 4 Ir 2.94

Calculated values
Density in g/cm3: 6.7
Space group: P4/mmm (123)
Raw formation energy in eV/atom: -0.112
M_tot in μB per atom: 0.00
DFT total energy in eV/atom: -4.48

(10)
Mg3SiIr after structural relaxation, computed with PBE-GGA.

a b c (Å): 4.8311 4.8311 4.8311
angles (deg): 90.00 90.00 90.00
Closest atoms and distances in Å follow each position.
Atoms (fractional coordinates):
Mg: 0.0000 0.0000 0.5000  2 Si 2.42
Mg: 0.0000 0.5000 0.0000  2 Si 2.42
Mg: 0.5000 0.0000 0.0000  2 Si 2.42
Si: 0.0000 0.0000 0.0000  6 Mg 2.42
Ir: 0.5000 0.5000 0.5000  12 Mg 3.42

Calculated values
Offset from the most stable computed form in eV per atom: 0.3296
Density in g/cm3: 4.3
Space group: Pm-3m (221)
Raw formation energy in eV/atom: 0.702
M_tot in μB per atom: 0.20
DFT total energy in eV/atom: -3.11

(11)
MgSi4Ir after structural relaxation, computed with PBE-GGA.

a b c (Å): 5.0395 5.0395 5.0395
angles (deg): 60.00 60.00 60.00
Closest atoms and distances in Å follow each position.
Atoms (fractional coordinates):
Mg: 0.0000 0.0000 0.0000  12 Si 2.95, 4 Ir 3.09
Si: 0.3749 0.3749 0.3749  6 Si 2.52
Si: 0.3749 0.3749 0.8753  6 Si 2.52
Si: 0.3749 0.8753 0.3749  6 Si 2.52
Si: 0.8753 0.3749 0.3749  6 Si 2.52
Ir: 0.7500 0.7500 0.7500  12 Si 2.95, 4 Mg 3.09

Calculated values
Density in g/cm3: 6.0
Space group: F-43m (216)
Raw formation energy in eV/atom: 0.384
M_tot in μB per atom: 0.00
DFT total energy in eV/atom: -4.97

(12)
Mg2SiIr after structural relaxation, computed with PBE-GGA.

a b c (Å): 3.1746 4.1028 5.3970
angles (deg): 90.00 107.03 90.00
Closest atoms and distances in Å follow each position.
Atoms (fractional coordinates):
Mg: 0.0000 0.0000 0.0000  3 Ir 2.81-2.84, 4 Si 2.82, 4 Mg 3.11-3.12
Mg: 0.3319 0.5000 0.6664  3 Si 2.81-2.83, 4 Ir 2.82-2.83, 4 Mg 3.11-3.12
Si: 0.6064 0.5000 0.2155  2 Ir 2.38
Ir: 0.7235 0.0000 0.4498  2 Si 2.38

Calculated values
Density in g/cm3: 6.6
Space group: Pm (6)
Raw formation energy in eV/atom: -0.368
M_tot in μB per atom: 0.00
DFT total energy in eV/atom: -4.74

(13)
Mg2Si3Ir5 after structural relaxation, computed with PBE-GGA.

a b c (Å): 12.3819 12.3819 6.0188
angles (deg): 90.00 90.00 161.36
Closest atoms and distances in Å follow each position.
Atoms (fractional coordinates):
Mg: 0.0152 0.9848 0.5000  5 Si 2.63-2.78, 6 Ir 2.81-2.93
Mg: 0.3325 0.6675 0.4643  7 Ir 2.71-2.93, 2 Si 2.86
Mg: 0.6675 0.3325 0.9643  7 Ir 2.71-2.93, 2 Si 2.86
Mg: 0.9848 0.0152 0.0000  5 Si 2.63-2.78, 6 Ir 2.81-2.93
Si: 0.1068 0.8932 0.7309  6 Ir 2.40-2.63, 1 Mg 2.63
Si: 0.2742 0.7258 0.9496  7 Ir 2.35-2.49
Si: 0.4565 0.5435 0.7154  5 Ir 2.38-2.58
Si: 0.5435 0.4565 0.2154  5 Ir 2.38-2.58
Si: 0.7258 0.2742 0.4496  7 Ir 2.35-2.49
Si: 0.8932 0.1068 0.2309  6 Ir 2.40-2.63, 1 Mg 2.63
Ir: 0.0943 0.9057 0.1447  3 Si 2.40-2.51
Ir: 0.2039 0.7961 0.6778  4 Si 2.37-2.49
Ir: 0.2057 0.7943 0.2238  3 Si 2.35-2.47
Ir: 0.3707 0.6293 0.9643  4 Si 2.36-2.63
Ir: 0.4471 0.5529 0.3215  4 Si 2.38-2.46
Ir: 0.5529 0.4471 0.8215  4 Si 2.38-2.46
Ir: 0.6293 0.3707 0.4643  4 Si 2.36-2.63
Ir: 0.7943 0.2057 0.7238  3 Si 2.35-2.47
Ir: 0.7961 0.2039 0.1778  4 Si 2.37-2.49
Ir: 0.9057 0.0943 0.6447  3 Si 2.40-2.51

Calculated values
Density in g/cm3: 12.3
Space group: Cmc2_1 (36)
Raw formation energy in eV/atom: -0.584
M_tot in μB per atom: 0.00
DFT total energy in eV/atom: -6.96

(14)
MgSi2Ir2 after structural relaxation, computed with PBE-GGA.

a b c (Å): 7.2315 7.2315 2.7858
angles (deg): 90.00 90.00 90.00
Closest atoms and distances in Å follow each position.
Atoms (fractional coordinates):
Mg: 0.0000 0.0000 0.0000  4 Si 2.78, 2 Mg 2.79, 8 Ir 3.08
Mg: 0.5000 0.5000 0.0000  4 Si 2.78, 2 Mg 2.79, 8 Ir 3.08
Si: 0.1425 0.3575 0.0000  6 Ir 2.52-2.54, 2 Mg 2.78, 2 Si 2.79
Si: 0.3575 0.8575 0.0000  6 Ir 2.52-2.54, 2 Mg 2.78, 2 Si 2.79
Si: 0.6425 0.1425 0.0000  6 Ir 2.52-2.54, 2 Mg 2.78, 2 Si 2.79
Si: 0.8575 0.6425 0.0000  6 Ir 2.52-2.54, 2 Mg 2.78, 2 Si 2.79
Ir: 0.1518 0.6518 0.5000  6 Si 2.52-2.54, 2 Ir 2.79
Ir: 0.3482 0.1518 0.5000  6 Si 2.52-2.54, 2 Ir 2.79
Ir: 0.6518 0.8482 0.5000  6 Si 2.52-2.54, 2 Ir 2.79
Ir: 0.8482 0.3482 0.5000  6 Si 2.52-2.54, 2 Ir 2.79

Calculated values
Density in g/cm3: 10.6
Space group: P4/mbm (127)
Raw formation energy in eV/atom: -0.467
M_tot in μB per atom: 0.00
DFT total energy in eV/atom: -6.50